YAs2P | PBE-GGA | relaxed

Properties
Its formation energy is -458.9 meV per atom. As for the total energy: -0.4228 Ry per atom.

Unit cell a=3.9758 b=3.9758 c=5.1401 alpha=90.00 beta=90.00 gamma=90.00
Space group P4/mmm (No. 123)
Unique sites:
Y 0.0000 0.0000 0.0000 (multiplicity 1)
As 0.0000 0.5000 0.5000 (multiplicity 2)
P 0.5000 0.5000 0.0000 (multiplicity 1)